Record 1
A plane-wave DFT calculation with PBE was carried out for a relaxed structure of Nb2InSb2.

The space group is P4/mbm (No. 127) and the conventional cell measures 7.662, 7.662 and 3.705 Å, with angles of 90.00, 90.00 and 90.00 degrees. The asymmetric unit holds Nb at (0.140, 0.360, 0.000), In at (0.000, 0.000, 0.000) and Sb at (0.153, 0.653, 0.500).

The calculation puts the distance to the lowest polymorph of the same formula at 0.0 meV per atom. The value obtained for the uncorrected formation energy is -0.084 eV per atom. Its total energy is -6.3087 eV/atom. As for the size of the total moment: 0.0000 μB/atom. The calculation puts the volume at 21.75 A^3/atom.

***

Record 2
A plane-wave DFT calculation with PBE was carried out for a relaxed structure of NbInSb2.

The space group is R3m (No. 160, hexagonal axes) and the conventional cell measures 3.5354, 3.5354 and 27.9096 Å, with angles of 90.00, 90.00 and 120.00 degrees. The asymmetric unit holds Nb at (0.0000, 0.0000, 0.0000), In at (0.0000, 0.0000, 0.8349), Sb at (0.0000, 0.0000, 0.4043) and Sb at (0.0000, 0.0000, 0.5960).

The value obtained for the uncorrected formation energy is -0.033 eV per atom. Its total energy is -5.2959 eV/atom. As for the size of the total moment: 0.0000 μB/atom. The calculation puts the volume at 25.18 A^3/atom.

***

Record 3
A plane-wave DFT calculation with PBE was carried out for a relaxed structure of Nb2InSb.

The space group is Fm-3m (No. 225) and the conventional cell measures 6.826, 6.826 and 6.826 Å, with angles of 90.00, 90.00 and 90.00 degrees. The asymmetric unit holds Nb at (0.250, 0.250, 0.250), In at (0.000, 0.000, 0.000) and Sb at (0.000, 0.000, 0.500).

The calculation puts the distance to the lowest polymorph of the same formula at 0.0 meV per atom. The value obtained for the uncorrected formation energy is 0.164 eV per atom. Its total energy is -6.5861 eV/atom. As for the size of the total moment: 0.0000 μB/atom. The calculation puts the volume at 19.87 A^3/atom.

***

Record 4
A plane-wave DFT calculation with PBE was carried out for a relaxed structure of Nb12In3Sb.

The space group is Pmmm (No. 47) and the conventional cell measures 5.332, 5.338 and 10.626 Å, with angles of 90.00, 90.00 and 90.00 degrees. The asymmetric unit holds Nb at (0.000, 0.000, 0.123), Nb at (0.000, 0.000, 0.375), Nb at (0.250, 0.500, 0.251), Nb at (0.500, 0.252, 0.500), Nb at (0.500, 0.253, 0.000), In at (0.000, 0.500, 0.000), In at (0.500, 0.000, 0.250) and Sb at (0.000, 0.500, 0.500).

The value obtained for the uncorrected formation energy is -0.064 eV per atom. Its total energy is -8.3876 eV/atom. As for the size of the total moment: 0.0000 μB/atom. The calculation puts the volume at 18.90 A^3/atom.

***

- Number 4 is which compound?
  Nb12In3Sb